Model one:
Compound: MnWI2N
Source: Alexandria
Functional: PBE-GGA
Structure: optimized geometry

a b c (Å): 5.296 5.296 3.469
angles (deg): 90.00 90.00 90.00
Space group P4/mmm (No. 123)
Inequivalent atoms, fractional coordinates:
Mn 0.000 0.000 0.000
W 0.500 0.500 0.500
I 0.000 0.500 0.000
N 0.000 0.000 0.500

Computed properties:
D(E_F) = 4.545 states/eV per cell

=====

Model two:
Compound: MnWI2N
Source: Alexandria
Functional: PBE-GGA
Structure: optimized geometry

a b c (Å): 5.659 5.659 3.842
angles (deg): 90.00 90.00 90.00
Space group P4/mmm (No. 123)
Inequivalent atoms, fractional coordinates:
Mn 0.000 0.000 0.000
W 0.500 0.500 0.500
I 0.000 0.500 0.500
N 0.500 0.500 0.000

Computed properties:
D(E_F) = 3.117 states/eV per cell

=====

Most stable = model two

=====

Model one:
Compound: YMnI2N
Source: Alexandria
Functional: PBE-GGA
Structure: optimized geometry

a b c (Å): 6.194 6.194 4.125
angles (deg): 90.00 90.00 90.00
Space group P4/mmm (No. 123)
Inequivalent atoms, fractional coordinates:
Y 0.000 0.000 0.000
Mn 0.500 0.500 0.500
I 0.000 0.500 0.000
N 0.000 0.000 0.500

Computed properties:
D(E_F) = 4.024 states/eV per cell

=====

Model two:
Compound: YMnI2N
Source: Alexandria
Functional: PBE-GGA
Structure: optimized geometry

a b c (Å): 5.503 5.503 3.598
angles (deg): 90.00 90.00 90.00
Space group P4/mmm (No. 123)
Inequivalent atoms, fractional coordinates:
Y 0.000 0.000 0.000
Mn 0.500 0.500 0.500
I 0.000 0.500 0.500
N 0.500 0.500 0.000

Computed properties:
D(E_F) = 3.919 states/eV per cell

=====

Most stable = model two